1.
Computed, not measured: a relaxed CsKTl crystal at the PBE level of DFT.

Computed properties:
The calculation puts the energy above the most stable polymorph in this dataset at 0.0000 eV per atom. The value obtained for the total magnetization is 0.00 μB/atom.

a = 7.2699 Å, b = 5.4633 Å, c = 9.7789 Å
α = 90.00°, β = 97.95°, γ = 90.00°
Last column: nearest neighbours and their distance in Å.
Space group P2_1/m (No. 11)
Unique sites:
Cs 0.2046 0.2500 0.3379 [2 per cell]  3 Tl 3.97-4.06
K 0.3531 0.2500 0.8567 [2 per cell]  4 Tl 3.68-3.92
Tl 0.1081 0.7500 0.0285 [2 per cell]  2 Tl 3.16

***

2.
Computed, not measured: a relaxed Cs4K3Tl2 crystal at the PBE level of DFT.

Computed properties:
The value obtained for the total magnetization is 0.00 μB/atom.

a = 21.9141 Å, b = 5.7118 Å, c = 11.0072 Å
α = 90.00°, β = 111.90°, γ = 90.00°
Last column: nearest neighbours and their distance in Å.
Space group C2/m (No. 12)
Unique sites:
Cs 0.0993 0.0000 0.3427 [4 per cell]  2 Tl 4.23-4.32, 2 K 4.58
Cs 0.2319 0.5000 0.1550 [4 per cell]  3 Tl 4.18-4.36
K 0.0000 0.5000 0.0000 [2 per cell]  4 Tl 3.69
K 0.0851 0.5000 0.7078 [4 per cell]  2 Tl 3.83, 1 K 4.28
Tl 0.0935 0.0000 0.9457 [4 per cell]  4 K 3.69-3.83

***

3.
Computed, not measured: a relaxed CsK3Tl8 crystal at the PBE level of DFT.

Computed properties:
The calculation puts the energy above the most stable polymorph in this dataset at 0.0000 eV per atom. The value obtained for the total magnetization is 0.00 μB/atom.

a = 6.8523 Å, b = 6.8523 Å, c = 10.6444 Å
α = 90.00°, β = 90.00°, γ = 120.00°
Last column: nearest neighbours and their distance in Å.
Space group P3m1 (No. 156)
Unique sites:
Cs 0.0000 0.0000 0.0000 [1 per cell]  12 Tl 3.91-4.00, 4 K 4.05-4.18
K 0.0000 0.0000 0.3800 [1 per cell]  12 Tl 3.80-4.00, 1 Cs 4.05, 3 K 4.16
K 0.6667 0.3333 0.5020 [1 per cell]  12 Tl 3.82-4.02, 4 K 3.96-4.16
K 0.6667 0.3333 0.8738 [1 per cell]  12 Tl 3.91-4.02, 1 K 3.96, 3 Cs 4.18
Tl 0.1675 0.3349 0.6838 [3 per cell]  6 Tl 3.31-3.44
Tl 0.3333 0.6667 0.4334 [1 per cell]  6 Tl 3.26-3.31
Tl 0.3333 0.6667 0.9421 [1 per cell]  6 Tl 3.35-3.38
Tl 0.5033 0.0065 0.1928 [3 per cell]  6 Tl 3.26-3.49

***

In order of appearance, formation enthalpy at 0 K = -0.064, -0.014, -0.107 eV/atom.